! BiP2SCl, relaxed, DFT PBE; values from VASP
&SYSTEM
  ibrav = 0, nat = 5, ntyp = 4
/
ATOMIC_SPECIES
P 30.97 P.upf
S 32.06 S.upf
Bi 208.98 Bi.upf
Cl 35.45 Cl.upf
CELL_PARAMETERS angstrom
-3.666 0.063 4.017
-3.968 -0.906 -3.607
0.600 -5.126 0.628
ATOMIC_POSITIONS crystal
P 0.500 0.000 0.000
P 0.000 0.500 0.000
S 0.500 0.500 0.500
Bi 0.000 0.000 0.000
Cl 0.000 0.000 0.500
! energy relative to the lowest polymorph listed for this composition = 602 meV/atom
! energy relative to the elements, uncorrected = 1.170 eV per atom
! DFT total energy = -2.97 eV/atom
! DOS(E_F) = 0.929 states/eV per atom
! density = 3.65 g/cm³
! space-group type = P4/mmm, No. 123

! BiPSCl2, relaxed, DFT PBE; values from VASP
&SYSTEM
  ibrav = 0, nat = 5, ntyp = 4
/
ATOMIC_SPECIES
Cl 35.45 Cl.upf
Bi 208.98 Bi.upf
S 32.06 S.upf
P 30.97 P.upf
CELL_PARAMETERS angstrom
4.761 0.000 0.000
0.000 4.761 0.000
0.000 0.000 4.946
ATOMIC_POSITIONS crystal
Cl 0.500 0.000 0.000
Cl 0.000 0.500 0.000
Bi 0.500 0.500 0.500
S 0.000 0.000 0.000
P 0.000 0.000 0.500
! energy relative to the lowest polymorph listed for this composition = 290 meV/atom
! energy relative to the elements, uncorrected = 0.412 eV per atom
! DFT total energy = -3.01 eV/atom
! DOS(E_F) = 0.682 states/eV per atom
! density = 5.08 g/cm³
! space-group type = P4/mmm, No. 123

! BiPSCl2, relaxed, DFT PBE; values from VASP
&SYSTEM
  ibrav = 0, nat = 5, ntyp = 4
/
ATOMIC_SPECIES
Cl 35.45 Cl.upf
Bi 208.98 Bi.upf
S 32.06 S.upf
P 30.97 P.upf
CELL_PARAMETERS angstrom
-4.608 0.964 2.554
-0.409 -5.198 1.223
2.789 0.886 4.697
ATOMIC_POSITIONS crystal
Cl 0.500 0.000 0.000
Cl 0.000 0.500 0.000
Bi 0.000 0.000 0.000
S 0.000 0.000 0.500
P 0.500 0.500 0.500
! energy relative to the lowest polymorph listed for this composition = 237 meV/atom
! energy relative to the elements, uncorrected = 0.360 eV per atom
! DFT total energy = -3.06 eV/atom
! DOS(E_F) = 0.499 states/eV per atom
! density = 3.59 g/cm³
! space-group type = P4/mmm, No. 123

! BiPSCl2, relaxed, DFT PBE; values from VASP
&SYSTEM
  ibrav = 0, nat = 5, ntyp = 4
/
ATOMIC_SPECIES
P 30.97 P.upf
Bi 208.98 Bi.upf
S 32.06 S.upf
Cl 35.45 Cl.upf
CELL_PARAMETERS angstrom
4.740 0.000 0.000
0.000 4.740 0.000
0.000 0.000 4.959
ATOMIC_POSITIONS crystal
P 0.000 0.000 0.000
Bi 0.500 0.500 0.500
S 0.000 0.000 0.500
Cl 0.500 0.000 0.000
Cl 0.000 0.500 0.000
! energy relative to the lowest polymorph listed for this composition = 0 meV/atom
! energy relative to the elements, uncorrected = 0.123 eV per atom
! DFT total energy = -3.30 eV/atom
! DOS(E_F) = 0.422 states/eV per atom
! density = 5.11 g/cm³
! space-group type = P4/mmm, No. 123

! BiP2SCl, relaxed, DFT PBE; values from VASP
&SYSTEM
  ibrav = 0, nat = 5, ntyp = 4
/
ATOMIC_SPECIES
Cl 35.45 Cl.upf
S 32.06 S.upf
Bi 208.98 Bi.upf
P 30.97 P.upf
CELL_PARAMETERS angstrom
4.741 0.000 0.000
0.000 4.741 0.000
0.000 0.000 4.646
ATOMIC_POSITIONS crystal
Cl 0.000 0.000 0.500
S 0.000 0.000 0.000
Bi 0.500 0.500 0.500
P 0.500 0.000 0.000
P 0.000 0.500 0.000
! energy relative to the lowest polymorph listed for this composition = 0 meV/atom
! energy relative to the elements, uncorrected = 0.568 eV per atom
! DFT total energy = -3.57 eV/atom
! DOS(E_F) = 0.614 states/eV per atom
! density = 5.38 g/cm³
! space-group type = P4/mmm, No. 123

! BiPSCl2, relaxed, DFT PBE; values from VASP
&SYSTEM
  ibrav = 0, nat = 5, ntyp = 4
/
ATOMIC_SPECIES
P 30.97 P.upf
Cl 35.45 Cl.upf
S 32.06 S.upf
Bi 208.98 Bi.upf
CELL_PARAMETERS angstrom
5.266 0.000 0.000
0.000 5.266 0.000
0.000 0.000 5.899
ATOMIC_POSITIONS crystal
P 0.000 0.000 0.500
Cl 0.500 0.000 0.000
Cl 0.000 0.500 0.000
S 0.500 0.500 0.500
Bi 0.000 0.000 0.000
! energy relative to the lowest polymorph listed for this composition = 420 meV/atom
! energy relative to the elements, uncorrected = 0.542 eV per atom
! DFT total energy = -2.88 eV/atom
! DOS(E_F) = 0.453 states/eV per atom
! density = 3.48 g/cm³
! space-group type = P4/mmm, No. 123